Material: Ca2La2Y
Method: DFT, PBE-GGA
State: relaxed

Cell and atoms, written as POSCAR:
```
Ca2La2Y
1.0
9.5759 0.0000 0.0000
0.0000 9.5759 0.0000
0.0000 0.0000 4.0836
Ca La Y
4 4 2
Cartesian
1.6838 3.1041 0.0000 Ca
3.1041 7.8920 0.0000 Ca
6.4718 1.6838 0.0000 Ca
7.8920 6.4718 0.0000 Ca
1.1919 5.9799 2.0418 La
3.5960 1.1919 2.0418 La
5.9799 8.3840 2.0418 La
8.3840 3.5960 2.0418 La
0.0000 0.0000 2.0418 Y
4.7879 4.7879 2.0418 Y
```

Results
Calculated volume: 374.46 Å³/cell
Magnetic moment: 0.00 μB per atom
ΔE to the lowest computed polymorph: 200 meV/atom
Energy relative to the elements: 0.23 eV per atom